[1]
# Tb12Pb3O5

Crystalline Tb12Pb3O5 at its relaxed geometry (GGA-PBE, Alexandria via LeMat-Bulk).

The calculation puts the raw formation energy at -1.56 eV per atom. Its magnetization is 0.0 μB/f.u.

The space group is Ia-3d (No. 230) and the conventional cell measures 15.753, 15.753 and 15.753 Å, with angles of 90.00, 90.00 and 90.00 degrees. Symmetry generates all atoms from Tb at (0.041, 0.048, 0.647), Pb at (0.000, 0.250, 0.125), O at (0.000, 0.000, 0.000) and O at (0.000, 0.250, 0.375).

---

[2]
# Tb4Pb3O2

Crystalline Tb4Pb3O2 at its relaxed geometry (GGA-PBE, Alexandria via LeMat-Bulk).

The calculation puts the raw formation energy at -1.58 eV per atom. Its magnetization is 0.0 μB/f.u.

The space group is C2/m (No. 12) and the conventional cell measures 14.117, 3.771 and 9.227 Å, with angles of 90.00, 114.39 and 90.00 degrees. Symmetry generates all atoms from Tb at (0.131, 0.000, 0.427), Tb at (0.206, 0.500, 0.143), Pb at (0.000, 0.000, 0.000), Pb at (0.087, 0.500, 0.729) and O at (0.201, 0.500, 0.379).

---

[3]
# TbPbO2

Crystalline TbPbO2 at its relaxed geometry (GGA-PBE, Alexandria via LeMat-Bulk).

The calculation puts the raw formation energy at -2.40 eV per atom. Its magnetization is 0.0 μB/f.u.

The space group is R-3m (No. 166, hexagonal axes) and the conventional cell measures 3.5162, 3.5162 and 21.3110 Å, with angles of 90.00, 90.00 and 120.00 degrees. Symmetry generates all atoms from Tb at (0.0000, 0.0000, 0.0000), Pb at (0.0000, 0.0000, 0.5000) and O at (0.0000, 0.0000, 0.3852).

---

[4]
# Tb3PbO

Crystalline Tb3PbO at its relaxed geometry (GGA-PBE, Alexandria via LeMat-Bulk).

The calculation puts the raw formation energy at -1.33 eV per atom. Its magnetization is 0.0 μB/f.u.

The space group is Cmmm (No. 65) and the conventional cell measures 9.641, 13.437 and 3.669 Å, with angles of 90.00, 90.00 and 90.00 degrees. Symmetry generates all atoms from Tb at (0.000, 0.204, 0.000), Tb at (0.203, 0.364, 0.500), Pb at (0.000, 0.000, 0.500), Pb at (0.000, 0.500, 0.000) and O at (0.250, 0.250, 0.000).

---

[5]
# Tb2PbO

Crystalline Tb2PbO at its relaxed geometry (GGA-PBE, Alexandria via LeMat-Bulk).

The calculation puts the raw formation energy at -1.56 eV per atom. Its magnetization is 0.0 μB/f.u. For the energy above the most stable polymorph in this dataset, the calculation gives 22.4 kJ per mole of atoms.

The space group is P2/c (No. 13) and the conventional cell measures 6.386, 6.325 and 11.212 Å, with angles of 90.00, 114.99 and 90.00 degrees. Symmetry generates all atoms from Tb at (0.020, 0.236, 0.073), Tb at (0.286, 0.180, 0.827), Pb at (0.437, 0.317, 0.371) and O at (0.009, 0.103, 0.622).

---

[6]
# Tb2PbO

Crystalline Tb2PbO at its relaxed geometry (GGA-PBE, Alexandria via LeMat-Bulk).

The calculation puts the raw formation energy at -1.59 eV per atom. Its magnetization is 0.0 μB/f.u. For the energy above the most stable polymorph in this dataset, the calculation gives 19.2 kJ per mole of atoms.

The space group is R-3m (No. 166, hexagonal axes) and the conventional cell measures 3.5973, 3.5973 and 23.1529 Å, with angles of 90.00, 90.00 and 120.00 degrees. Symmetry generates all atoms from Tb at (0.0000, 0.0000, 0.2225), Pb at (0.0000, 0.0000, 0.0000) and O at (0.0000, 0.0000, 0.5000).

---

[7]
# Tb2PbO

Crystalline Tb2PbO at its relaxed geometry (GGA-PBE, Alexandria via LeMat-Bulk).

The calculation puts the raw formation energy at -1.09 eV per atom. Its magnetization is 0.0 μB/f.u. For the energy above the most stable polymorph in this dataset, the calculation gives 67.6 kJ per mole of atoms.

The space group is P4/mmm (No. 123) and the conventional cell measures 3.200, 3.200 and 7.879 Å, with angles of 90.00, 90.00 and 90.00 degrees. Symmetry generates all atoms from Tb at (0.000, 0.000, 0.196), Pb at (0.500, 0.500, 0.500) and O at (0.500, 0.500, 0.000).

---

[8]
# Tb4Pb2O

Crystalline Tb4Pb2O at its relaxed geometry (GGA-PBE, Alexandria via LeMat-Bulk).

The calculation puts the raw formation energy at -1.16 eV per atom. Its magnetization is 0.5 μB/f.u.

The space group is I4/mmm (No. 139) and the conventional cell measures 4.617, 4.617 and 17.074 Å, with angles of 90.00, 90.00 and 90.00 degrees. Symmetry generates all atoms from Tb at (0.000, 0.000, 0.173), Tb at (0.000, 0.500, 0.000), Pb at (0.000, 0.000, 0.360) and O at (0.000, 0.000, 0.000).

---

Question: raw formation energy of number 3 (TbPbO2)?
Answer: -2.40 eV per atom

---

What did the third record say?
# TbPbO2

Crystalline TbPbO2 at its relaxed geometry (GGA-PBE, Alexandria via LeMat-Bulk).

The calculation puts the raw formation energy at -2.40 eV per atom. Its magnetization is 0.0 μB/f.u.

The space group is R-3m (No. 166, hexagonal axes) and the conventional cell measures 3.5162, 3.5162 and 21.3110 Å, with angles of 90.00, 90.00 and 120.00 degrees. Symmetry generates all atoms from Tb at (0.0000, 0.0000, 0.0000), Pb at (0.0000, 0.0000, 0.5000) and O at (0.0000, 0.0000, 0.3852).

---

Question: Which value of raw formation energy does entry 8 give?
Answer: -1.16 eV per atom

---

Question: Look up the magnetization of the second one.
Answer: 0.0 μB/f.u.